Entry 1:
The following is a DFT calculation (PBE) of a relaxed structure of K.

**Crystal system**: hexagonal
**DOS at the Fermi energy**: 10.5 states/eV per cell
**DFT total energy**: -1.07 eV per atom
**Volume**: 74.4 A^3/atom

Cell and atoms, written as CIF:
```
data_K
_space_group_name_H-M_alt 'P 63/m m c'
_space_group_IT_number 194
_space_group_name_Hall '-P 6c 2c'
_cell_length_a 8.6524
_cell_length_b 8.6524
_cell_length_c 13.7754
_cell_angle_alpha 90.00
_cell_angle_beta 90.00
_cell_angle_gamma 120.00
loop_
_atom_site_label
_atom_site_fract_x
_atom_site_fract_y
_atom_site_fract_z
_atom_site_occupancy
K1 0.0000 0.0000 0.0000 1
K2 0.1718 0.3437 0.2500 1
K3 0.3333 0.6667 0.5641 1
```

=====

Entry 2:
The following is a DFT calculation (PBE) of a relaxed structure of K.

**Crystal system**: cubic
**DOS at the Fermi energy**: 120.2 states/eV per cell
**DFT total energy**: -1.07 eV per atom
**Volume**: 73.9 A^3/atom

Cell and atoms, written as CIF:
```
data_K
_space_group_name_H-M_alt 'I m -3'
_space_group_IT_number 204
_space_group_name_Hall '-I 2 2 3'
_cell_length_a 22.875
_cell_length_b 22.875
_cell_length_c 22.875
_cell_angle_alpha 90.00
_cell_angle_beta 90.00
_cell_angle_gamma 90.00
loop_
_atom_site_label
_atom_site_fract_x
_atom_site_fract_y
_atom_site_fract_z
_atom_site_occupancy
K1 0.000 0.000 0.000 1
K2 0.000 0.092 0.500 1
K3 0.000 0.104 0.159 1
K4 0.000 0.167 0.323 1
K5 0.000 0.299 0.500 1
K6 0.000 0.309 0.120 1
K7 0.094 0.335 0.311 1
K8 0.189 0.189 0.189 1
```

=====

Entry 3:
The following is a DFT calculation (PBE) of a relaxed structure of K.

**Crystal system**: cubic
**DOS at the Fermi energy**: 17.7 states/eV per cell
**DFT total energy**: -1.08 eV per atom
**Volume**: 73.5 A^3/atom

Cell and atoms, written as CIF:
```
data_K
_space_group_name_H-M_alt 'P 41 3 2'
_space_group_IT_number 213
_space_group_name_Hall 'P 4bd 2ab 3'
_cell_length_a 11.368
_cell_length_b 11.368
_cell_length_c 11.368
_cell_angle_alpha 90.00
_cell_angle_beta 90.00
_cell_angle_gamma 90.00
loop_
_atom_site_label
_atom_site_fract_x
_atom_site_fract_y
_atom_site_fract_z
_atom_site_occupancy
K1 0.047 0.125 0.797 1
K2 0.062 0.938 0.438 1
```

=====

Entry 4:
The following is a DFT calculation (PBE) of a relaxed structure of K.

**Crystal system**: cubic
**DOS at the Fermi energy**: 12.3 states/eV per cell
**DFT total energy**: -0.77 eV per atom
**Volume**: 141.4 A^3/atom

Cell and atoms, written as CIF:
```
data_K
_space_group_name_H-M_alt 'I m -3 m'
_space_group_IT_number 229
_space_group_name_Hall '-I 4 2 3'
_cell_length_a 11.927
_cell_length_b 11.927
_cell_length_c 11.927
_cell_angle_alpha 90.00
_cell_angle_beta 90.00
_cell_angle_gamma 90.00
loop_
_atom_site_label
_atom_site_fract_x
_atom_site_fract_y
_atom_site_fract_z
_atom_site_occupancy
K1 0.000 0.250 0.500 1
```

=====

Entry 5:
The following is a DFT calculation (PBE) of a relaxed structure of K.

**Crystal system**: hexagonal
**DOS at the Fermi energy**: 3.6 states/eV per cell
**DFT total energy**: -0.92 eV per atom
**Volume**: 86.8 A^3/atom

Cell and atoms, written as CIF:
```
data_K
_space_group_name_H-M_alt 'P 63/m m c'
_space_group_IT_number 194
_space_group_name_Hall '-P 6c 2c'
_cell_length_a 7.2071
_cell_length_b 7.2071
_cell_length_c 7.7160
_cell_angle_alpha 90.00
_cell_angle_beta 90.00
_cell_angle_gamma 120.00
loop_
_atom_site_label
_atom_site_fract_x
_atom_site_fract_y
_atom_site_fract_z
_atom_site_occupancy
K1 0.0000 0.0000 0.2500 1
K2 0.3333 0.6667 0.2500 1
```

=====

Entry 6:
The following is a DFT calculation (PBE) of a relaxed structure of K.

**Crystal system**: tetragonal
**DOS at the Fermi energy**: 2.8 states/eV per cell
**DFT total energy**: -0.88 eV per atom
**Volume**: 114.5 A^3/atom

Cell and atoms, written as CIF:
```
data_K
_space_group_name_H-M_alt 'P 4/m m m'
_space_group_IT_number 123
_space_group_name_Hall '-P 4 2'
_cell_length_a 10.406
_cell_length_b 10.406
_cell_length_c 4.230
_cell_angle_alpha 90.00
_cell_angle_beta 90.00
_cell_angle_gamma 90.00
loop_
_atom_site_label
_atom_site_fract_x
_atom_site_fract_y
_atom_site_fract_z
_atom_site_occupancy
K1 0.000 0.293 0.000 1
```

=====

- What is the formula in the second record?
  K

=====

Copy entry 1 word for word.
The following is a DFT calculation (PBE) of a relaxed structure of K.

**Crystal system**: hexagonal
**DOS at the Fermi energy**: 10.5 states/eV per cell
**DFT total energy**: -1.07 eV per atom
**Volume**: 74.4 A^3/atom

Cell and atoms, written as CIF:
```
data_K
_space_group_name_H-M_alt 'P 63/m m c'
_space_group_IT_number 194
_space_group_name_Hall '-P 6c 2c'
_cell_length_a 8.6524
_cell_length_b 8.6524
_cell_length_c 13.7754
_cell_angle_alpha 90.00
_cell_angle_beta 90.00
_cell_angle_gamma 120.00
loop_
_atom_site_label
_atom_site_fract_x
_atom_site_fract_y
_atom_site_fract_z
_atom_site_occupancy
K1 0.0000 0.0000 0.0000 1
K2 0.1718 0.3437 0.2500 1
K3 0.3333 0.6667 0.5641 1
```

=====

- Look up the DFT total energy of the fifth one.
  -0.92 eV per atom

=====

Repeat the first record exactly.
The following is a DFT calculation (PBE) of a relaxed structure of K.

**Crystal system**: hexagonal
**DOS at the Fermi energy**: 10.5 states/eV per cell
**DFT total energy**: -1.07 eV per atom
**Volume**: 74.4 A^3/atom

Cell and atoms, written as CIF:
```
data_K
_space_group_name_H-M_alt 'P 63/m m c'
_space_group_IT_number 194
_space_group_name_Hall '-P 6c 2c'
_cell_length_a 8.6524
_cell_length_b 8.6524
_cell_length_c 13.7754
_cell_angle_alpha 90.00
_cell_angle_beta 90.00
_cell_angle_gamma 120.00
loop_
_atom_site_label
_atom_site_fract_x
_atom_site_fract_y
_atom_site_fract_z
_atom_site_occupancy
K1 0.0000 0.0000 0.0000 1
K2 0.1718 0.3437 0.2500 1
K3 0.3333 0.6667 0.5641 1
```